Record 1
## AcTb4Y5 (PBE)

Data for crystalline AcTb4Y5 at its relaxed geometry.

Properties
Calculated formation energy (eV/atom): 0.213

Geometry as POSCAR:
```
AcTb4Y5
1.0
8.711 -1.805 0.000
8.711 1.805 0.000
-0.090 0.000 11.079
Ac Tb Y
1 4 5
direct
0.000 0.000 0.000
0.150 0.150 0.250
0.474 0.474 0.257
0.526 0.526 0.743
0.850 0.850 0.750
0.000 0.000 0.500
0.323 0.323 0.061
0.326 0.326 0.448
0.674 0.674 0.552
0.677 0.677 0.939
```

***

Record 2
## CePt3Rh (PBE)

Data for crystalline CePt3Rh at its relaxed geometry.

Properties
Calculated formation energy (eV/atom): -0.598

Geometry as POSCAR:
```
CePt3Rh
1.0
-2.629 3.762 4.724
2.629 -3.762 4.724
2.629 3.762 -4.724
Ce Pt Rh
2 6 2
direct
0.251 0.001 0.250
0.749 0.999 0.750
0.058 0.308 0.750
0.314 0.000 0.814
0.314 0.500 0.314
0.686 0.000 0.186
0.686 0.500 0.686
0.942 0.692 0.250
0.000 0.500 0.500
0.500 0.500 0.000
```

***

Record 3
## ZrScSnO6 (PBE)

Data for crystalline ZrScSnO6 at its relaxed geometry.

Properties
Uncorrected formation energy (meV per atom): -2489

Geometry as POSCAR:
```
ZrScSnO6
1.0
4.902 0.000 0.000
0.000 4.902 0.000
0.000 0.000 9.773
Zr Sc Sn O
2 2 2 12
direct
0.000 0.000 0.000
0.500 0.500 0.500
0.000 0.000 0.331
0.500 0.500 0.831
0.000 0.000 0.665
0.500 0.500 0.165
0.194 0.194 0.501
0.195 0.195 0.829
0.198 0.198 0.164
0.302 0.698 0.664
0.305 0.695 0.329
0.306 0.694 0.001
0.694 0.306 0.001
0.695 0.305 0.329
0.698 0.302 0.664
0.802 0.802 0.164
0.805 0.805 0.829
0.806 0.806 0.501
```

***

Record 4
## SrScTe2F (PBE)

Data for crystalline SrScTe2F at its relaxed geometry.

Properties
Uncorrected formation energy (meV per atom): -2058

Geometry as POSCAR:
```
SrScTe2F
1.0
5.765 0.000 0.000
0.000 5.765 0.000
0.000 0.000 4.161
Sr Sc Te F
1 1 2 1
direct
0.000 0.000 0.000
0.500 0.500 0.500
0.000 0.500 0.500
0.500 0.000 0.500
0.500 0.500 0.000
```

***

Record 5
## Al12Zn5Fe3 (PBE)

Data for crystalline Al12Zn5Fe3 at its relaxed geometry.

Properties
Calculated formation energy (eV/atom): 0.345

Geometry as POSCAR:
```
Al12Zn5Fe3
1.0
-7.316 7.316 7.316
7.316 -7.316 7.316
7.316 7.316 -7.316
Al Zn Fe
48 20 12
direct
0.068 0.643 0.409
0.068 0.926 0.659
0.074 0.234 0.143
0.074 0.341 0.932
0.091 0.734 0.659
0.091 0.857 0.432
0.143 0.074 0.234
0.143 0.568 0.909
0.159 0.234 0.591
0.159 0.426 0.568
0.234 0.143 0.074
0.234 0.591 0.159
0.266 0.341 0.909
0.266 0.426 0.357
0.341 0.909 0.266
0.341 0.932 0.074
0.357 0.266 0.426
0.357 0.591 0.932
0.409 0.068 0.643
0.409 0.841 0.766
0.426 0.357 0.266
0.426 0.568 0.159
0.432 0.091 0.857
0.432 0.841 0.574
0.568 0.159 0.426
0.568 0.909 0.143
0.574 0.432 0.841
0.574 0.643 0.734
0.591 0.159 0.234
0.591 0.932 0.357
0.643 0.409 0.068
0.643 0.734 0.574
0.659 0.068 0.926
0.659 0.091 0.734
0.734 0.574 0.643
0.734 0.659 0.091
0.766 0.409 0.841
0.766 0.857 0.926
0.841 0.574 0.432
0.841 0.766 0.409
0.857 0.432 0.091
0.857 0.926 0.766
0.909 0.143 0.568
0.909 0.266 0.341
0.926 0.659 0.068
0.926 0.766 0.857
0.932 0.074 0.341
0.932 0.357 0.591
0.000 0.000 0.000
0.000 0.000 0.500
0.000 0.500 0.000
0.000 0.500 0.500
0.125 0.750 0.875
0.125 0.875 0.250
0.250 0.125 0.875
0.250 0.625 0.375
0.375 0.250 0.625
0.375 0.625 0.750
0.500 0.000 0.000
0.500 0.000 0.500
0.500 0.500 0.000
0.500 0.500 0.500
0.625 0.375 0.250
0.625 0.750 0.375
0.750 0.375 0.625
0.750 0.875 0.125
0.875 0.125 0.750
0.875 0.250 0.125
0.125 0.250 0.375
0.125 0.375 0.750
0.250 0.375 0.125
0.250 0.875 0.625
0.375 0.125 0.250
0.375 0.750 0.125
0.625 0.250 0.875
0.625 0.875 0.750
0.750 0.125 0.375
0.750 0.625 0.875
0.875 0.625 0.250
0.875 0.750 0.625
```

***

Record 6
## BeNi5 (PBE)

Data for crystalline BeNi5 at its relaxed geometry.

Properties
Calculated formation energy (eV/atom): -0.090

Geometry as POSCAR:
```
BeNi5
1.0
1.997 -5.991 0.000
1.997 5.991 0.000
0.000 0.000 2.577
Be Ni
1 5
direct
0.000 0.000 0.000
0.147 0.853 0.500
0.323 0.677 0.000
0.500 0.500 0.500
0.677 0.323 0.000
0.853 0.147 0.500
```

***

Calculated Fermi-level density of states, 1.469 1.309 0.801 0.016 0.845 1.662 states/eV/atom (same order as the records).